[1]
Density functional theory data (PBE) for crystalline ZnTeSe3 at its relaxed geometry.

Volume (Å³/cell): 154.5
Electronic total energy (eV per atom): -2.406
DOS at the Fermi energy (states/eV/f.u.): 6.08
Formation energy (no corrections) (kJ/mol of formula units): 274

Cell lengths 5.366, 5.366, 5.366 Å; angles 90.00, 90.00, 90.00 degrees
Space group Pm-3m (No. 221)
Inequivalent atoms, fractional coordinates:
Zn 0.000 0.000 0.000
Te 0.500 0.500 0.500
Se 0.000 0.500 0.500

[2]
Density functional theory data (PBE) for crystalline ZnTe2Se at its relaxed geometry.

Volume (Å³/cell): 209.5
Electronic total energy (eV per atom): -2.803
DOS at the Fermi energy (states/eV/f.u.): 2.98
Formation energy (no corrections) (kJ/mol of formula units): -16

Cell lengths 5.908, 5.908, 6.002 Å; angles 90.00, 90.00, 90.00 degrees
Space group I4/mmm (No. 139)
Inequivalent atoms, fractional coordinates:
Zn 0.000 0.000 0.000
Te 0.000 0.500 0.000
Se 0.000 0.000 0.500

[3]
Density functional theory data (PBE) for crystalline ZnTe2Se at its relaxed geometry.

Volume (Å³/cell): 262.3
Electronic total energy (eV per atom): -2.607
DOS at the Fermi energy (states/eV/f.u.): 3.14
Formation energy (no corrections) (kJ/mol of formula units): 59

Cell lengths 3.990, 7.751, 8.482 Å; angles 90.00, 90.00, 90.00 degrees
Space group Immm (No. 71)
Inequivalent atoms, fractional coordinates:
Zn 0.000 0.000 0.000
Te 0.000 0.262 0.500
Se 0.000 0.500 0.000

[4]
Density functional theory data (PBE) for crystalline Zn2TeSe at its relaxed geometry.

Volume (Å³/cell): 423.1
Electronic total energy (eV per atom): -2.867
Formation energy (no corrections) (kJ/mol of formula units): -221

Cell lengths 13.966, 4.220, 7.295 Å; angles 90.00, 100.18, 90.00 degrees
Space group Cm (No. 8)
Inequivalent atoms, fractional coordinates:
Zn 0.000 0.000 0.000
Zn 0.010 0.500 0.474
Zn 0.247 0.500 0.222
Zn 0.263 0.000 0.754
Te 0.070 0.000 0.681
Te 0.316 0.000 0.421
Se 0.065 0.500 0.168
Se 0.318 0.500 0.931

[5]
Density functional theory data (PBE) for crystalline Zn2TeSe at its relaxed geometry.

Volume (Å³/cell): 241.5
Electronic total energy (eV per atom): -2.371
DOS at the Fermi energy (states/eV/f.u.): 1.06
Formation energy (no corrections) (kJ/mol of formula units): -30

Cell lengths 3.675, 7.531, 8.728 Å; angles 90.00, 90.00, 90.00 degrees
Space group Immm (No. 71)
Inequivalent atoms, fractional coordinates:
Zn 0.000 0.229 0.000
Te 0.000 0.000 0.500
Se 0.000 0.500 0.500

[6]
Density functional theory data (PBE) for crystalline ZnTe3Se at its relaxed geometry.

Volume (Å³/cell): 144.8
Electronic total energy (eV per atom): -2.269
DOS at the Fermi energy (states/eV/f.u.): 5.60
Formation energy (no corrections) (kJ/mol of formula units): 274

Cell lengths 5.251, 5.251, 5.251 Å; angles 90.00, 90.00, 90.00 degrees
Space group Pm-3m (No. 221)
Inequivalent atoms, fractional coordinates:
Zn 0.000 0.000 0.000
Te 0.000 0.000 0.500
Se 0.500 0.500 0.500

[7]
Density functional theory data (PBE) for crystalline ZnTe2Se at its relaxed geometry.

Volume (Å³/cell): 218.4
Electronic total energy (eV per atom): -2.619
DOS at the Fermi energy (states/eV/f.u.): 1.39
Formation energy (no corrections) (kJ/mol of formula units): 54

Cell lengths 3.815, 5.001, 11.445 Å; angles 90.00, 90.00, 90.00 degrees
Space group Cmm2 (No. 35)
Inequivalent atoms, fractional coordinates:
Zn 0.000 0.000 0.000
Te 0.000 0.000 0.475
Te 0.000 0.500 0.794
Se 0.000 0.500 0.144

[8]
Density functional theory data (PBE) for crystalline ZnTe2Se at its relaxed geometry.

Volume (Å³/cell): 388.1
Electronic total energy (eV per atom): -2.429
DOS at the Fermi energy (states/eV/f.u.): 4.49
Formation energy (no corrections) (kJ/mol of formula units): 128

Cell lengths 7.294, 7.294, 7.294 Å; angles 90.00, 90.00, 90.00 degrees
Space group F-43m (No. 216)
Inequivalent atoms, fractional coordinates:
Zn 0.000 0.000 0.000
Te 0.000 0.000 0.500
Te 0.250 0.250 0.250
Se 0.250 0.250 0.750